The following is a DFT calculation (GGA-PBE) of a relaxed structure of RbSeSBr2.

The excess energy over the best structure of this formula in the dataset is 0.000 eV per atom. As for the crystal system: tetragonal. The symmetry is P4/mmm, No. 123. The volume is 154.0 Å³/cell. As for the uncorrected formation energy: -1.9 eV/f.u.

Unit cell a=5.702 b=5.702 c=4.735 alpha=90.00 beta=90.00 gamma=90.00
Positions (direct):
Rb1 0.000 0.000 0.000
Se1 0.500 0.500 0.000
S1 0.500 0.500 0.500
Br1 0.000 0.500 0.500
Br2 0.500 0.000 0.500

The following is a DFT calculation (GGA-PBE) of a relaxed structure of Pm2ScTl3S6.

As for the crystal system: monoclinic. The symmetry is C2/m, No. 12. The volume is 317.6 Å³/cell. As for the uncorrected formation energy: -17.0 eV/f.u.

Unit cell a=6.996 b=6.996 c=7.838 alpha=98.55 beta=98.55 gamma=119.91
Positions (direct):
Pm1 0.167 0.833 0.000
Pm2 0.833 0.167 0.000
Sc1 0.500 0.500 0.000
Tl1 0.000 0.000 0.500
Tl2 0.331 0.669 0.500
Tl3 0.669 0.331 0.500
S1 0.121 0.434 0.804
S2 0.253 0.253 0.201
S3 0.434 0.121 0.804
S4 0.566 0.879 0.196
S5 0.747 0.747 0.799
S6 0.879 0.566 0.196

The following is a DFT calculation (GGA-PBE) of a relaxed structure of LaPr2Hg4.

As for the crystal system: tetragonal. The symmetry is I4/mmm, No. 139. The volume is 222.9 Å³/cell. As for the energy of formation from the pure elements: -0.385 eV/atom.

Unit cell a=6.616 b=6.616 c=6.616 alpha=109.31 beta=109.31 gamma=109.80
Positions (direct):
La1 0.000 0.000 0.000
Pr1 0.000 0.500 0.500
Pr2 0.500 0.000 0.500
Hg1 0.000 0.000 0.500
Hg2 0.000 0.500 0.000
Hg3 0.500 0.000 0.000
Hg4 0.500 0.500 0.500

Across the entries above, total moment takes the values 0.0; 0.0; 0.0 Bohr magnetons per cell, respectively.